No. 1
{"formula": "Sc2TiCd", "functional": "GGA-PBE", "state": "relaxed", "lattice": [[1.460, 9.092, 5.572], [4.053, 7.590, 6.466], [4.034, 9.226, 3.801]], "species": ["Ti", "Cd", "Sc", "Sc"], "frac_coords": [[0.000, 0.000, 0.000], [0.500, 0.500, 0.500], [0.914, 0.914, 0.914], [0.086, 0.086, 0.086]], "energy_ev_per_cell": -20.43}

No. 2
{"formula": "Sm2GeTe4", "functional": "GGA-PBE", "state": "relaxed", "lattice": [[-4.396, 0.271, 0.271], [0.287, -2.674, 7.308], [2.606, 7.911, -1.552]], "species": ["Te", "Te", "Te", "Sm", "Sm", "Ge", "Te"], "frac_coords": [[0.372, 0.721, 0.744], [0.884, 0.205, 0.769], [0.628, 0.279, 0.256], [0.735, 0.747, 0.470], [0.265, 0.253, 0.530], [0.000, 0.000, 0.000], [0.116, 0.795, 0.231]], "raw_formation_energy_ev_per_atom": -0.99, "energy_ev_per_cell": -33.56}

No. 3
{"formula": "As2WAu", "functional": "GGA-PBE", "state": "relaxed", "lattice": [[-1.030, 0.395, 2.836], [0.663, -2.899, 0.644], [7.306, 2.192, 2.348]], "species": ["As", "W", "As", "Au"], "frac_coords": [[0.500, 0.500, 0.274], [0.500, 0.500, 0.763], [0.000, 0.000, 0.947], [0.000, 0.000, 0.517]], "relative_energy_mev_per_atom": 187.8, "energy_ev_per_cell": -24.06}

No. 4
{"formula": "Pu2AuC", "functional": "GGA-PBE", "state": "relaxed", "lattice": [[-2.002, -2.387, -0.421], [2.381, -2.039, 0.238], [-1.075, -0.396, 7.349]], "species": ["C", "Pu", "Pu", "Au"], "frac_coords": [[0.500, 0.500, 0.000], [0.000, 0.000, 0.187], [0.000, 0.000, 0.813], [0.500, 0.500, 0.500]], "relative_energy_mev_per_atom": 64.0, "energy_ev_per_cell": -41.54}

No. 5
{"formula": "LaAgTe2I", "functional": "GGA-PBE", "state": "relaxed", "lattice": [[5.527, 0.000, 0.000], [0.000, 5.527, 0.000], [0.000, 0.000, 5.466]], "species": ["Te", "La", "I", "Ag", "Te"], "frac_coords": [[0.500, 0.000, 0.000], [0.500, 0.500, 0.500], [0.000, 0.000, 0.500], [0.000, 0.000, 0.000], [0.000, 0.500, 0.000]], "raw_formation_energy_ev_per_atom": -0.40, "relative_energy_mev_per_atom": 0.0, "energy_ev_per_cell": -17.62}

No. 6
{"formula": "ZrTe2Ir", "functional": "GGA-PBE", "state": "relaxed", "lattice": [[-3.546, 0.712, 0.869], [-0.802, -3.619, -0.310], [1.572, -0.967, 7.210]], "species": ["Te", "Ir", "Te", "Zr"], "frac_coords": [[0.000, 0.000, 0.907], [0.500, 0.500, 0.709], [0.500, 0.500, 0.347], [0.000, 0.000, 0.537]], "raw_formation_energy_ev_per_atom": -0.39, "relative_energy_mev_per_atom": 240.8, "energy_ev_per_cell": -25.26}

No. 7
{"formula": "NaLaNbTl2", "functional": "GGA-PBE", "state": "relaxed", "lattice": [[-1.829, -3.040, -3.694], [3.263, -4.097, 1.756], [-3.705, -1.601, 3.152]], "species": ["Tl", "La", "Nb", "Tl", "Na"], "frac_coords": [[0.000, 0.000, 0.500], [0.000, 0.500, 0.000], [0.500, 0.500, 0.500], [0.500, 0.000, 0.000], [0.000, 0.000, 0.000]], "energy_ev_per_cell": -15.50}

Copy entry 1 word for word.
{"formula": "Sc2TiCd", "functional": "GGA-PBE", "state": "relaxed", "lattice": [[1.460, 9.092, 5.572], [4.053, 7.590, 6.466], [4.034, 9.226, 3.801]], "species": ["Ti", "Cd", "Sc", "Sc"], "frac_coords": [[0.000, 0.000, 0.000], [0.500, 0.500, 0.500], [0.914, 0.914, 0.914], [0.086, 0.086, 0.086]], "energy_ev_per_cell": -20.43}